Density functional theory data (GGA-PBE) for an optimized crystal structure of CsCaAg2Pd.

Cell lengths 6.0684, 6.0684, 5.2688 Å; angles 90.00, 90.00, 90.00 degrees
Element x y z (fractional)
Cs 0.0000 0.0000 0.0000
Ca 0.5000 0.5000 0.5000
Ag 0.0000 0.5000 0.0000
Ag 0.5000 0.0000 0.0000
Pd 0.0000 0.0000 0.5000

Properties
ΔH_f (0 K) ... 913 meV/atom
Total magnetic moment ... 0.00 μB per cell
Symmetry ... P4/mmm (123)
Raw total energy ... -1.8369 eV per atom
N(E_F) ... 0.78 states/eV/atom